Record 1
Ca2Cu3P4Pd | PBE | relaxed

Lattice parameters (Å, degrees): 4.124 4.124 9.662 90.00 90.00 90.00
Positions (direct):
Ca 0.000 0.500 0.246
Ca 0.500 0.000 0.754
Cu 0.000 0.500 0.875
Cu 0.500 0.000 0.125
Cu 0.500 0.500 0.500
P 0.000 0.000 0.000
P 0.000 0.500 0.637
P 0.500 0.000 0.363
P 0.500 0.500 0.000
Pd 0.000 0.000 0.500

## Properties
Mass density (g/cm³): 5.06
Density of states at the Fermi level (states/eV/cell): 4.15
E_form (eV per atom): -0.58

=====

Record 2
CaPmCuP | PBE | relaxed

Lattice parameters (Å, degrees): 7.047 7.047 7.047 90.00 90.00 90.00
Positions (direct):
Ca 0.000 0.000 0.000
Ca 0.000 0.500 0.500
Ca 0.500 0.000 0.500
Ca 0.500 0.500 0.000
Pm 0.000 0.000 0.500
Pm 0.000 0.500 0.000
Pm 0.500 0.000 0.000
Pm 0.500 0.500 0.500
Cu 0.250 0.250 0.750
Cu 0.250 0.750 0.250
Cu 0.750 0.250 0.250
Cu 0.750 0.750 0.750
P 0.250 0.250 0.250
P 0.250 0.750 0.750
P 0.750 0.250 0.750
P 0.750 0.750 0.250

## Properties
Mass density (g/cm³): 5.31
Density of states at the Fermi level (states/eV/cell): 12.42
E_form (eV per atom): -0.54

=====

Repeat the second record exactly.
CaPmCuP | PBE | relaxed

Lattice parameters (Å, degrees): 7.047 7.047 7.047 90.00 90.00 90.00
Positions (direct):
Ca 0.000 0.000 0.000
Ca 0.000 0.500 0.500
Ca 0.500 0.000 0.500
Ca 0.500 0.500 0.000
Pm 0.000 0.000 0.500
Pm 0.000 0.500 0.000
Pm 0.500 0.000 0.000
Pm 0.500 0.500 0.500
Cu 0.250 0.250 0.750
Cu 0.250 0.750 0.250
Cu 0.750 0.250 0.250
Cu 0.750 0.750 0.750
P 0.250 0.250 0.250
P 0.250 0.750 0.750
P 0.750 0.250 0.750
P 0.750 0.750 0.250

## Properties
Mass density (g/cm³): 5.31
Density of states at the Fermi level (states/eV/cell): 12.42
E_form (eV per atom): -0.54

=====

Q: What is the formula in the second record?
A: CaPmCuP

=====

Please write out number 2 again, unchanged.
CaPmCuP | PBE | relaxed

Lattice parameters (Å, degrees): 7.047 7.047 7.047 90.00 90.00 90.00
Positions (direct):
Ca 0.000 0.000 0.000
Ca 0.000 0.500 0.500
Ca 0.500 0.000 0.500
Ca 0.500 0.500 0.000
Pm 0.000 0.000 0.500
Pm 0.000 0.500 0.000
Pm 0.500 0.000 0.000
Pm 0.500 0.500 0.500
Cu 0.250 0.250 0.750
Cu 0.250 0.750 0.250
Cu 0.750 0.250 0.250
Cu 0.750 0.750 0.750
P 0.250 0.250 0.250
P 0.250 0.750 0.750
P 0.750 0.250 0.750
P 0.750 0.750 0.250

## Properties
Mass density (g/cm³): 5.31
Density of states at the Fermi level (states/eV/cell): 12.42
E_form (eV per atom): -0.54